1.
## CsBaCrH6 (PBE-GGA)

Data for a relaxed structure of CsBaCrH6.

Values from the calculation:
- Space group: No. 8
- VASP energy: -0.28220 Ry/atom

Lattice parameters (Å, degrees): 5.642 5.642 5.312 90.06 90.06 60.03
Sites, in units of the cell vectors:
Cs: 0.000 0.000 0.000
Ba: 0.333 0.333 0.538
Cr: 0.667 0.667 0.341
H: 0.373 0.814 0.528
H: 0.514 0.514 0.169
H: 0.514 0.972 0.169
H: 0.814 0.373 0.528
H: 0.814 0.814 0.527
H: 0.972 0.514 0.169

=====

2.
## CsBa2CrIn (PBE-GGA)

Data for a relaxed structure of CsBa2CrIn.

Values from the calculation:
- Calculated formation energy: 0.6316 eV per atom
- Space group: No. 123
- VASP energy: -0.20437 Ry/atom

Lattice parameters (Å, degrees): 6.462 6.462 6.588 90.00 90.00 90.00
Sites, in units of the cell vectors:
Cs: 0.000 0.000 0.000
Ba: 0.000 0.500 0.500
Ba: 0.500 0.000 0.500
Cr: 0.000 0.000 0.500
In: 0.500 0.500 0.000

=====

3.
## CsBaLi2Cr (PBE-GGA)

Data for a relaxed structure of CsBaLi2Cr.

Values from the calculation:
- Calculated formation energy: 0.9446 eV per atom
- Space group: No. 123
- VASP energy: -0.16911 Ry/atom

Lattice parameters (Å, degrees): 6.812 6.812 6.504 90.00 90.00 90.00
Sites, in units of the cell vectors:
Cs: 0.000 0.000 0.000
Ba: 0.500 0.500 0.500
Li: 0.000 0.500 0.500
Li: 0.500 0.000 0.500
Cr: 0.500 0.500 0.000